[1]
An optimized crystal structure of Li4AgPd6. Source: the Alexandria database, functional PBE.

a = 5.9700 Å, b = 5.9700 Å, c = 8.9807 Å
α = 90.00°, β = 90.00°, γ = 90.00°
Space group I-42m (No. 121)
Inequivalent atoms, fractional coordinates:
Li  0.1723  0.1723  0.0714 x8
Ag  0.0000  0.0000  0.5000 x2
Pd  0.0000  0.5000  0.0000 x4
Pd  0.1845  0.1845  0.7860 x8

Results
Its mass density is 8032 kg/m3.



[2]
An optimized crystal structure of LiAg2Pd2. Source: the Alexandria database, functional PBE.

a = 3.7156 Å, b = 3.7156 Å, c = 13.6920 Å
α = 90.00°, β = 90.00°, γ = 90.00°
Space group I4/mmm (No. 139)
Inequivalent atoms, fractional coordinates:
Li  0.0000  0.0000  0.0000 x2
Ag  0.0000  0.0000  0.4025 x4
Pd  0.0000  0.5000  0.2500 x4

Results
Its mass density is 7652 kg/m3. As for the energy above the most stable polymorph in this dataset: 274 meV per atom.



[3]
An optimized crystal structure of LiAgPd2. Source: the Alexandria database, functional PBE.

a = 2.7485 Å, b = 4.6592 Å, c = 10.2473 Å
α = 90.00°, β = 90.00°, γ = 90.00°
Space group Immm (No. 71)
Inequivalent atoms, fractional coordinates:
Li  0.0000  0.0000  0.0000 x2
Ag  0.0000  0.0000  0.5000 x2
Pd  0.0000  0.0000  0.2366 x4

Results
Its mass density is 8292 kg/m3. As for the energy above the most stable polymorph in this dataset: 246 meV per atom.



[4]
An optimized crystal structure of Li3Ag3Pd5. Source: the Alexandria database, functional PBE.

a = 8.7068 Å, b = 8.7068 Å, c = 2.7975 Å
α = 90.00°, β = 90.00°, γ = 120.00°
Space group P-62m (No. 189)
Inequivalent atoms, fractional coordinates:
Li  0.0000  0.5792  0.0000 x3
Ag  0.0000  0.8162  0.5000 x3
Pd  0.0000  0.3537  0.5000 x3
Pd  0.3333  0.6667  0.5000 x2

Results
Its mass density is 7925 kg/m3.



[5]
An optimized crystal structure of Li2Ag12Pd. Source: the Alexandria database, functional PBE.

a = 5.5035 Å, b = 5.5035 Å, c = 20.0180 Å
α = 90.00°, β = 90.00°, γ = 90.00°
Space group P4/nbm (No. 125, origin choice 2)
Inequivalent atoms, fractional coordinates:
Li  0.2500  0.7500  0.2388 x4
Ag  0.0001  0.9999  0.4018 x8
Ag  0.0723  0.5723  0.0641 x8
Ag  0.2500  0.2500  0.1649 x4
Ag  0.2500  0.2500  0.2987 x4
Pd  0.2500  0.7500  0.5000 x2

Results
Its mass density is 7749 kg/m3.



[6]
An optimized crystal structure of Li6AgPd5. Source: the Alexandria database, functional PBE.

a = 8.5283 Å, b = 8.4417 Å, c = 4.9125 Å
α = 90.00°, β = 100.70°, γ = 90.00°
Space group C2/m (No. 12)
Inequivalent atoms, fractional coordinates:
Li  0.2463  0.1708  0.2477 x8
Li  0.2465  0.0000  0.7612 x4
Ag  0.0000  0.5000  0.5000 x2
Pd  0.0000  0.0000  0.0000 x2
Pd  0.0000  0.1654  0.5000 x4
Pd  0.0000  0.3330  0.0000 x4

Results
Its mass density is 6514 kg/m3. As for the energy above the most stable polymorph in this dataset: 13 meV per atom.



[7]
An optimized crystal structure of Li2Ag5Pd4. Source: the Alexandria database, functional PBE.

a = 2.7918 Å, b = 7.4020 Å, c = 17.9915 Å
α = 90.00°, β = 90.00°, γ = 90.00°
Space group Immm (No. 71)
Inequivalent atoms, fractional coordinates:
Li  0.0000  0.0000  0.0902 x4
Ag  0.0000  0.2040  0.3505 x8
Ag  0.0000  0.5000  0.0000 x2
Pd  0.0000  0.0000  0.2231 x4
Pd  0.0000  0.3146  0.5000 x4

Results
Its mass density is 8744 kg/m3. As for the energy above the most stable polymorph in this dataset: 165 meV per atom.



[8]
An optimized crystal structure of LiAg6Pd3. Source: the Alexandria database, functional PBE.

a = 10.4871 Å, b = 2.8222 Å, c = 11.6588 Å
α = 90.00°, β = 99.92°, γ = 90.00°
Space group P2_1/m (No. 11)
Inequivalent atoms, fractional coordinates:
Li  0.0423  0.2500  0.2337 x2
Ag  0.1266  0.2500  0.9958 x2
Ag  0.1932  0.7500  0.4251 x2
Ag  0.2085  0.7500  0.7913 x2
Ag  0.2696  0.7500  0.2066 x2
Ag  0.3413  0.2500  0.6209 x2
Ag  0.4897  0.7500  0.8088 x2
Pd  0.0701  0.2500  0.5956 x2
Pd  0.3754  0.7500  0.0016 x2
Pd  0.4253  0.2500  0.4047 x2

Results
Its mass density is 9511 kg/m3. As for the energy above the most stable polymorph in this dataset: 0 meV per atom.



[9]
An optimized crystal structure of Li7Ag3Pd2. Source: the Alexandria database, functional PBE.

a = 4.1395 Å, b = 24.1163 Å, c = 3.9656 Å
α = 90.00°, β = 90.00°, γ = 90.00°
Space group Cmmm (No. 65)
Inequivalent atoms, fractional coordinates:
Li  0.0000  0.0000  0.0000 x2
Li  0.0000  0.0868  0.5000 x4
Li  0.0000  0.2739  0.0000 x4
Li  0.0000  0.4151  0.0000 x4
Ag  0.0000  0.3415  0.5000 x4
Ag  0.0000  0.5000  0.5000 x2
Pd  0.0000  0.1584  0.0000 x4

Results
Its mass density is 4908 kg/m3. As for the energy above the most stable polymorph in this dataset: 49 meV per atom.



[10]
An optimized crystal structure of Li5AgPd6. Source: the Alexandria database, functional PBE.

a = 4.2233 Å, b = 6.3974 Å, c = 12.5406 Å
α = 90.00°, β = 90.00°, γ = 90.00°
Space group Immm (No. 71)
Inequivalent atoms, fractional coordinates:
Li  0.0000  0.0000  0.0000 x2
Li  0.0000  0.0000  0.3456 x4
Li  0.0000  0.5000  0.3257 x4
Ag  0.0000  0.5000  0.0000 x2
Pd  0.0000  0.2328  0.1710 x8
Pd  0.0000  0.2775  0.5000 x4

Results
Its mass density is 7656 kg/m3.



[11]
An optimized crystal structure of Li3Ag3Pd. Source: the Alexandria database, functional PBE.

a = 6.5127 Å, b = 8.1079 Å, c = 9.0719 Å
α = 90.00°, β = 90.16°, γ = 90.00°
Space group C2/m (No. 12)
Inequivalent atoms, fractional coordinates:
Li  0.1909  0.1992  0.2589 x8
Li  0.1928  0.0000  0.9299 x4
Ag  0.0000  0.2876  0.0000 x4
Ag  0.0000  0.3164  0.5000 x4
Ag  0.1474  0.0000  0.6077 x4
Pd  0.0090  0.5000  0.7635 x4

Results
Its mass density is 6251 kg/m3. As for the energy above the most stable polymorph in this dataset: 0 meV per atom.



[12]
An optimized crystal structure of Li5Ag5Pd2. Source: the Alexandria database, functional PBE.

a = 13.4068 Å, b = 4.4005 Å, c = 7.7902 Å
α = 90.00°, β = 124.70°, γ = 90.00°
Space group C2/m (No. 12)
Inequivalent atoms, fractional coordinates:
Li  0.0000  0.0000  0.0000 x2
Li  0.0744  0.0000  0.7378 x4
Li  0.2490  0.5000  0.7215 x4
Ag  0.0000  0.5000  0.5000 x2
Ag  0.0797  0.5000  0.2377 x4
Ag  0.1802  0.5000  0.0044 x4
Pd  0.1652  0.0000  0.5117 x4

Results
Its mass density is 6917 kg/m3.



[13]
An optimized crystal structure of Li3Ag4Pd2. Source: the Alexandria database, functional PBE.

a = 9.0163 Å, b = 4.0417 Å, c = 8.4123 Å
α = 90.00°, β = 110.04°, γ = 90.00°
Space group C2/m (No. 12)
Inequivalent atoms, fractional coordinates:
Li  0.0000  0.0000  0.0000 x2
Li  0.1677  0.5000  0.5615 x4
Ag  0.0120  0.0000  0.3378 x4
Ag  0.1613  0.5000  0.8879 x4
Pd  0.1775  0.5000  0.2338 x4

Results
Its mass density is 7670 kg/m3. As for the energy above the most stable polymorph in this dataset: 0 meV per atom.



[14]
An optimized crystal structure of Li5Ag2Pd4. Source: the Alexandria database, functional PBE.

a = 6.7141 Å, b = 16.1206 Å, c = 2.9612 Å
α = 90.00°, β = 90.00°, γ = 90.00°
Space group Pbam (No. 55)
Inequivalent atoms, fractional coordinates:
Li  0.0000  0.0000  0.0000 x2
Li  0.1088  0.4254  0.0000 x4
Li  0.1970  0.1747  0.0000 x4
Ag  0.0209  0.2926  0.5000 x4
Pd  0.1024  0.8724  0.5000 x4
Pd  0.2029  0.5487  0.5000 x4

Results
Its mass density is 7006 kg/m3.



[15]
An optimized crystal structure of Li2AgPd. Source: the Alexandria database, functional PBE.

a = 2.8820 Å, b = 2.8820 Å, c = 25.6724 Å
α = 90.00°, β = 90.00°, γ = 120.00°
Space group R3m (No. 160, hexagonal axes)
Inequivalent atoms, fractional coordinates:
Li  0.0000  0.0000  0.0000 x3
Li  0.0000  0.0000  0.1559 x3
Ag  0.0000  0.0000  0.5781 x3
Pd  0.0000  0.0000  0.7446 x3

Results
Its mass density is 6155 kg/m3. As for the energy above the most stable polymorph in this dataset: 67 meV per atom.



[16]
An optimized crystal structure of Li2Ag4Pd3. Source: the Alexandria database, functional PBE.

a = 4.0726 Å, b = 4.8525 Å, c = 8.4538 Å
α = 105.41°, β = 90.11°, γ = 114.77°
Space group P-1 (No. 2)
Inequivalent atoms, fractional coordinates:
Li  0.1697  0.3392  0.2288 x2
Ag  0.1660  0.3322  0.8895 x2
Ag  0.4983  0.9963  0.6677 x2
Pd  0.1656  0.3316  0.5516 x2
Pd  0.5000  0.0000  0.0000 x1

Results
Its mass density is 8756 kg/m3. As for the energy above the most stable polymorph in this dataset: 0 meV per atom.



[17]
An optimized crystal structure of Li2AgPd9. Source: the Alexandria database, functional PBE.

a = 3.9320 Å, b = 3.9320 Å, c = 11.7143 Å
α = 90.00°, β = 90.00°, γ = 90.00°
Space group P4/mmm (No. 123)
Inequivalent atoms, fractional coordinates:
Li  0.0000  0.0000  0.1613 x2
Ag  0.0000  0.0000  0.5000 x1
Pd  0.0000  0.5000  0.0000 x2
Pd  0.0000  0.5000  0.3254 x4
Pd  0.5000  0.5000  0.1621 x2
Pd  0.5000  0.5000  0.5000 x1

Results
Its mass density is 9898 kg/m3.



[18]
An optimized crystal structure of Li5AgPd3. Source: the Alexandria database, functional PBE.

a = 5.9878 Å, b = 5.9878 Å, c = 15.9059 Å
α = 90.00°, β = 90.00°, γ = 90.00°
Space group I4/mcm (No. 140)
Inequivalent atoms, fractional coordinates:
Li  0.0000  0.0000  0.0000 x4
Li  0.2091  0.2909  0.1350 x16
Ag  0.0000  0.5000  0.2500 x4
Pd  0.0000  0.0000  0.2500 x4
Pd  0.1493  0.3507  0.5000 x8

Results
Its mass density is 5379 kg/m3. As for the energy above the most stable polymorph in this dataset: 106 meV per atom.



[19]
An optimized crystal structure of LiAgPd6. Source: the Alexandria database, functional PBE.

a = 8.9386 Å, b = 3.9048 Å, c = 7.8041 Å
α = 90.00°, β = 115.81°, γ = 90.00°
Space group C2/m (No. 12)
Inequivalent atoms, fractional coordinates:
Li  0.0000  0.0000  0.0000 x2
Ag  0.0000  0.0000  0.5000 x2
Pd  0.0004  0.5000  0.2411 x4
Pd  0.2473  0.0000  0.3684 x4
Pd  0.2504  0.0000  0.8792 x4

Results
Its mass density is 10203 kg/m3. As for the energy above the most stable polymorph in this dataset: 0 meV per atom.



[20]
An optimized crystal structure of Li2Ag5Pd2. Source: the Alexandria database, functional PBE.

a = 5.6375 Å, b = 15.8919 Å, c = 6.6881 Å
α = 90.00°, β = 90.00°, γ = 90.00°
Space group Imma (No. 74)
Inequivalent atoms, fractional coordinates:
Li  0.0000  0.0333  0.1441 x8
Ag  0.0000  0.2500  0.9515 x4
Ag  0.2500  0.1144  0.7500 x8
Ag  0.2500  0.1561  0.2500 x8
Pd  0.0000  0.0000  0.5000 x4
Pd  0.0000  0.2500  0.5393 x4

Results
Its mass density is 8492 kg/m3. As for the energy above the most stable polymorph in this dataset: 118 meV per atom.



Listing formation enthalpy at 0 K for the structures above in their given order: -1.6, 9.2, 0.5, 7.1, 12.5, -37.2, -0.7, -5.6, -16.0, -33.7, -17.3, -23.0, -22.5, -29.2, -25.8, -18.8, -16.5, -19.2, -11.5, -4.4 kJ/mol of atoms.
Listing uncorrected energy for the structures above in their given order: -83.7, -35.0, -30.3, -39.4, -82.6, -89.8, -77.9, -70.4, -68.6, -95.5, -83.0, -74.1, -59.3, -78.7, -38.8, -32.6, -55.5, -119.2, -73.8, -115.5 eV/cell.